# Li7AlAg2, optimized geometry, DFT PBE-GGA
# - formation enthalpy at 0 K (eV/atom) = 0.1203
# - crystal system = orthorhombic
# - symmetry = Cmmm, No. 65
# - final energy (eV per cell) = -21.64
data_Li7AlAg2
_chemical_formula_sum 'Li7 Al1 Ag2'
_symmetry_space_group_name_H-M 'P 1'
_symmetry_Int_Tables_number 1
_cell_length_a 7.525
_cell_length_b 7.525
_cell_length_c 4.569
_cell_angle_alpha 90.00
_cell_angle_beta 90.00
_cell_angle_gamma 120.55
loop_
_symmetry_equiv_pos_as_xyz
'x,y,z'
loop_
_atom_site_label
_atom_site_fract_x
_atom_site_fract_y
_atom_site_fract_z
Li1 0.000 0.000 0.000
Li2 0.215 0.437 0.000
Li3 0.283 0.717 0.500
Li4 0.437 0.215 0.000
Li5 0.563 0.785 0.000
Li6 0.717 0.283 0.500
Li7 0.785 0.563 0.000
Al1 0.500 0.500 0.500
Ag1 0.199 0.801 0.000
Ag2 0.801 0.199 0.000